Mn5Co3 at its PBEsol-relaxed geometry, computed with meta-GGA SCAN.

- Theoretical density: 9166 kg/m3
- DFT total energy: -17.85 eV/atom
- Formation energy from the elements: 46 meV/atom

Cell: 3.439 4.877 4.877 Å, 90.37 90.00 90.00°
Site moments in Bohr magnetons follow the coordinates.
Element x y z (fractional)
1 Co 0.500 0.253 0.253  -0.17
2 Co 0.000 0.500 0.500  -1.13
3 Co 0.500 0.747 0.747  -0.17
4 Mn 0.000 0.000 0.000  -2.84
5 Mn 0.000 0.000 0.500  1.46
6 Mn 0.500 0.748 0.252  2.32
7 Mn 0.000 0.500 0.000  1.46
8 Mn 0.500 0.252 0.748  2.32